BaEu2Dy: relaxed, PBE-GGA.

* DOS at the Fermi energy: 4.2 states/eV per cell
* calculated formation energy: 73 kJ/mol of formula units
* symmetry: No. 123
* volume: 42.3 Å³/atom

Geometry as POSCAR:
```
BaEu2Dy
1.0
6.246 0.000 0.000
0.000 6.246 0.000
0.000 0.000 4.341
Ba Eu Dy
1 2 1
direct
0.000 0.000 0.000
0.000 0.500 0.500
0.500 0.000 0.500
0.500 0.500 0.000
```

---

SiSbTe2I: relaxed, PBE-GGA.

* DOS at the Fermi energy: 4.4 states/eV per cell
* uncorrected formation energy: 0.4652 eV/atom
* symmetry: No. 123
* volume: 30.8 Å³/atom

Geometry as POSCAR:
```
SiSbTe2I
1.0
5.213 0.000 0.000
0.000 5.213 0.000
0.000 0.000 5.663
Si Sb Te I
1 1 2 1
direct
0.000 0.000 0.000
0.000 0.000 0.500
0.000 0.500 0.000
0.500 0.000 0.000
0.500 0.500 0.500
```

---

Pr5Sm2N5: relaxed, PBE-GGA.

* DOS at the Fermi energy: 8.4 states/eV per cell
* uncorrected formation energy: -0.9270 eV/atom
* symmetry: No. 12
* volume: 22.5 Å³/atom

Geometry as POSCAR:
```
Pr5Sm2N5
1.0
6.167 -1.771 0.000
6.167 1.771 0.000
-2.112 0.000 12.362
Pr Sm N
5 2 5
direct
0.000 0.000 0.000
0.149 0.149 0.564
0.225 0.225 0.875
0.775 0.775 0.125
0.851 0.851 0.436
0.432 0.432 0.678
0.568 0.568 0.322
0.189 0.189 0.381
0.362 0.362 0.039
0.500 0.500 0.500
0.638 0.638 0.961
0.811 0.811 0.619
```

---

AgB2Rh: relaxed, PBE-GGA.

* DOS at the Fermi energy: 9.5 states/eV per cell
* calculated formation energy: 330 kJ/mol of formula units
* symmetry: No. 225
* volume: 11.0 Å³/atom

Geometry as POSCAR:
```
AgB2Rh
1.0
5.606 0.000 0.000
0.000 5.606 0.000
0.000 0.000 5.606
Ag B Rh
4 8 4
direct
0.000 0.000 0.000
0.000 0.500 0.500
0.500 0.000 0.500
0.500 0.500 0.000
0.250 0.250 0.250
0.250 0.250 0.750
0.250 0.750 0.250
0.250 0.750 0.750
0.750 0.250 0.250
0.750 0.250 0.750
0.750 0.750 0.250
0.750 0.750 0.750
0.000 0.000 0.500
0.000 0.500 0.000
0.500 0.000 0.000
0.500 0.500 0.500
```

---

NaSr2Lu: relaxed, PBE-GGA.

* DOS at the Fermi energy: 5.2 states/eV per cell
* calculated formation energy: 64 kJ/mol of formula units
* symmetry: No. 123
* volume: 42.3 Å³/atom

Geometry as POSCAR:
```
NaSr2Lu
1.0
3.903 0.000 0.000
0.000 3.903 0.000
0.000 0.000 11.107
Na Sr Lu
1 2 1
direct
0.000 0.000 0.000
0.500 0.500 0.260
0.500 0.500 0.740
0.000 0.000 0.500
```

---

YZnCl2: relaxed, PBE-GGA.

* DOS at the Fermi energy: 5.0 states/eV per cell
* uncorrected formation energy: -0.9529 eV/atom
* symmetry: No. 139
* volume: 21.4 Å³/atom

Geometry as POSCAR:
```
YZnCl2
1.0
4.536 0.000 0.000
0.000 4.536 0.000
0.000 0.000 8.307
Y Zn Cl
2 2 4
direct
0.000 0.000 0.000
0.500 0.500 0.500
0.000 0.000 0.500
0.500 0.500 0.000
0.000 0.500 0.250
0.000 0.500 0.750
0.500 0.000 0.250
0.500 0.000 0.750
```